1.
A geometry-optimized Ca2InB structure, computed with PBEsol.

Results
Crystal system ... cubic
ΔH_f (0 K) ... 0.27 eV per atom
Excess energy over the best structure of this formula in the dataset ... 0.000 eV/atom

Cell: 5.0157 5.0157 5.0157 Å, 60.00 60.00 60.00°
Closest atoms and distances in Å follow each position.
Atoms (fractional coordinates):
In  0.5000  0.5000  0.5000  8 Ca 3.07
B  0.0000  0.0000  0.0000  8 Ca 3.07
Ca  0.2500  0.2500  0.2500  4 In 3.07, 4 B 3.07
Ca  0.7500  0.7500  0.7500  4 In 3.07, 4 B 3.07

---

2.
A geometry-optimized Tb5NiPb3 structure, computed with PBEsol.

Results
Crystal system ... hexagonal
ΔH_f (0 K) ... -0.56 eV per atom

Cell: 6.5971 9.0778 9.0778 Å, 120.00 90.00 90.00°
Closest atoms and distances in Å follow each position.
Atoms (fractional coordinates):
Tb  0.0000  0.3333  0.6667  6 Pb 3.23, 2 Tb 3.30
Ni  0.0000  0.0000  0.0000  6 Tb 2.73
Ni  0.5000  0.0000  0.0000  6 Tb 2.73
Tb  0.7500  0.2398  0.0000  2 Ni 2.73
Tb  0.7500  0.0000  0.2398  2 Ni 2.73
Pb  0.2500  0.6011  0.6011  7 Tb 3.16-3.28
Tb  0.5000  0.3333  0.6667  6 Pb 3.23, 2 Tb 3.30
Pb  0.7500  0.3989  0.3989  7 Tb 3.16-3.28
Tb  0.2500  0.2398  0.2398  2 Ni 2.73
Tb  0.2500  0.7602  0.0000  2 Ni 2.73
Pb  0.7500  0.6011  0.0000  7 Tb 3.16-3.28
Tb  0.2500  0.0000  0.7602  2 Ni 2.73
Tb  0.5000  0.6667  0.3333  6 Pb 3.23, 2 Tb 3.30
Pb  0.2500  0.0000  0.3989  7 Tb 3.16-3.28
Pb  0.2500  0.3989  0.0000  7 Tb 3.16-3.28
Pb  0.7500  0.0000  0.6011  7 Tb 3.16-3.28
Tb  0.0000  0.6667  0.3333  6 Pb 3.23, 2 Tb 3.30
Tb  0.7500  0.7602  0.7602  2 Ni 2.73

---

3.
A geometry-optimized CsNbO3 structure, computed with PBEsol.

Results
Crystal system ... monoclinic
VASP energy ... -7.924 eV/atom

Cell: 5.1382 9.2228 15.8796 Å, 90.00 90.00 93.17°
Closest atoms and distances in Å follow each position.
Atoms (fractional coordinates):
O  0.9358  0.4561  0.2855  1 Nb 1.81
Nb  0.4727  0.6862  0.4974  3 O 1.81-1.99
O  0.2515  0.6321  0.3979  2 Nb 1.98-1.99
Nb  0.5273  0.8138  0.9974  3 O 1.81-1.99
O  0.0642  0.5439  0.7145  1 Nb 1.81
O  0.1781  0.2366  0.9340  2 Nb 1.94-2.07
Nb  0.9616  0.5531  0.6055  3 O 1.81-1.98
O  0.9358  0.9561  0.2145  1 Nb 1.81
Cs  0.5988  0.2063  0.2427  4 O 2.89-2.99
O  0.7485  0.8679  0.8979  2 Nb 1.98-1.99
Nb  0.5273  0.3138  0.5026  3 O 1.81-1.99
Nb  0.0384  0.9469  0.1055  3 O 1.81-1.98
O  0.7498  0.0404  0.0355  2 Nb 2.08
O  0.6115  0.8542  0.4537  1 Nb 1.81
O  0.7498  0.5404  0.4645  2 Nb 2.08
O  0.2502  0.9596  0.9645  2 Nb 2.08
O  0.3885  0.6458  0.9537  1 Nb 1.81
Cs  0.1174  0.9890  0.3938  6 O 2.98-3.20
O  0.8219  0.2634  0.4340  2 Nb 1.94-2.07
O  0.6717  0.1775  0.8904  2 Nb 1.93-2.06
O  0.2502  0.4596  0.5355  2 Nb 2.08
O  0.3885  0.1458  0.5463  1 Nb 1.81
O  0.6115  0.3542  0.0463  1 Nb 1.81
O  0.6717  0.6775  0.6096  2 Nb 1.93-2.06
O  0.8219  0.7634  0.0660  2 Nb 1.94-2.07
Cs  0.8826  0.5110  0.8938  6 O 2.98-3.20
O  0.2515  0.1321  0.1021  2 Nb 1.98-1.99
O  0.7485  0.3679  0.6021  2 Nb 1.98-1.99
Cs  0.4012  0.2937  0.7427  4 O 2.89-2.99
Nb  0.4727  0.1862  0.0026  3 O 1.81-1.99
Cs  0.4012  0.7937  0.7573  4 O 2.89-2.99
Cs  0.5988  0.7063  0.2573  4 O 2.89-2.99
Nb  0.0384  0.4469  0.3945  3 O 1.81-1.98
O  0.1781  0.7366  0.5660  2 Nb 1.94-2.07
O  0.0642  0.0439  0.7855  1 Nb 1.81
Cs  0.1174  0.4890  0.1062  6 O 2.98-3.20
O  0.3283  0.3225  0.3904  2 Nb 1.93-2.06
Cs  0.8826  0.0110  0.6062  6 O 2.98-3.20
Nb  0.9616  0.0531  0.8945  3 O 1.81-1.98
O  0.3283  0.8225  0.1096  2 Nb 1.93-2.06

---

4.
A geometry-optimized CuMoAs2 structure, computed with PBEsol.

Results
Crystal system ... orthorhombic
ΔH_f (0 K) ... -0.04 eV per atom
Excess energy over the best structure of this formula in the dataset ... 0.000 eV/atom

Cell: 3.3230 3.5854 5.4549 Å, 90.00 107.73 90.00°
Closest atoms and distances in Å follow each position.
Atoms (fractional coordinates):
Mo  0.5506  0.5000  0.1012  6 As 2.60-2.63, 2 Cu 2.64
Cu  0.7375  0.0000  0.4750  5 As 2.37-2.45, 2 Mo 2.64
As  0.9652  0.0000  0.9305  1 Cu 2.37, 4 Mo 2.60
As  0.2471  0.5000  0.4942  4 Cu 2.45, 2 Mo 2.63

---

5.
A geometry-optimized SnH2S2 structure, computed with PBEsol.

Results
Crystal system ... tetragonal
VASP energy ... -3.955 eV/atom

Cell: 3.0894 7.2750 7.2750 Å, 90.00 90.00 90.00°
Closest atoms and distances in Å follow each position.
Atoms (fractional coordinates):
H  0.5000  0.3699  0.8699  2 S 1.61
S  0.0000  0.3241  0.8241  2 H 1.61
Sn  0.0000  0.0000  0.0000  4 S 2.68
S  0.0000  0.6759  0.1759  2 H 1.61
H  0.5000  0.8699  0.6301  2 S 1.61
Sn  0.0000  0.5000  0.5000  4 S 2.68
H  0.5000  0.6301  0.1301  2 S 1.61
H  0.5000  0.1301  0.3699  2 S 1.61
S  0.0000  0.1759  0.3241  2 H 1.61
S  0.0000  0.8241  0.6759  2 H 1.61

---

6.
A geometry-optimized Er2SnAu2 structure, computed with PBEsol.

Results
Crystal system ... tetragonal
ΔH_f (0 K) ... -0.90 eV per atom

Cell: 7.3095 7.7350 7.7350 Å, 90.00 90.00 90.00°
Closest atoms and distances in Å follow each position.
Atoms (fractional coordinates):
Sn  0.2500  0.5000  0.0000  4 Au 3.05, 4 Er 3.36
Au  0.2827  0.3720  0.3720  1 Au 2.80, 6 Er 2.86-3.02, 2 Sn 3.05
Au  0.2173  0.1280  0.8720  1 Au 2.80, 6 Er 2.86-3.02, 2 Sn 3.05
Er  0.0000  0.8139  0.8139  6 Au 2.90-2.94
Er  0.0000  0.1861  0.1861  6 Au 2.90-2.94
Er  0.5000  0.3139  0.6861  6 Au 2.90-2.94
Au  0.7827  0.8720  0.1280  1 Au 2.80, 6 Er 2.86-3.02, 2 Sn 3.05
Er  0.5000  0.6861  0.3139  6 Au 2.90-2.94
Sn  0.2500  0.0000  0.5000  4 Au 3.05, 4 Er 3.36
Er  0.5000  0.1549  0.1549  6 Au 2.86-3.02
Sn  0.7500  0.5000  0.0000  4 Au 3.05, 4 Er 3.36
Au  0.7173  0.3720  0.3720  1 Au 2.80, 6 Er 2.86-3.02, 2 Sn 3.05
Sn  0.7500  0.0000  0.5000  4 Au 3.05, 4 Er 3.36
Au  0.7827  0.1280  0.8720  1 Au 2.80, 6 Er 2.86-3.02, 2 Sn 3.05
Er  0.5000  0.8451  0.8451  6 Au 2.86-3.02
Er  0.0000  0.6549  0.3451  6 Au 2.86-3.02
Er  0.0000  0.3451  0.6549  6 Au 2.86-3.02
Au  0.7173  0.6280  0.6280  1 Au 2.80, 6 Er 2.86-3.02, 2 Sn 3.05
Au  0.2827  0.6280  0.6280  1 Au 2.80, 6 Er 2.86-3.02, 2 Sn 3.05
Au  0.2173  0.8720  0.1280  1 Au 2.80, 6 Er 2.86-3.02, 2 Sn 3.05

---

7.
A geometry-optimized Li2CdSi structure, computed with PBEsol.

Results
Crystal system ... orthorhombic
VASP energy ... -2.889 eV/atom

Cell: 2.7665 3.9931 5.7014 Å, 90.00 90.00 90.00°
Closest atoms and distances in Å follow each position.
Atoms (fractional coordinates):
Li  0.0000  0.0000  0.7765  3 Li 2.55-2.77, 4 Si 2.74
Li  0.0000  0.0000  0.2235  3 Li 2.55-2.77, 4 Si 2.74
Cd  0.5000  0.5000  0.5000  2 Cd 2.77, 2 Si 2.85, 8 Li 2.90
Si  0.5000  0.5000  0.0000  8 Li 2.74, 2 Si 2.77, 2 Cd 2.85

---

8.
A geometry-optimized TeAs structure, computed with PBEsol.

Results
Crystal system ... hexagonal
VASP energy ... -3.993 eV/atom

Cell: 4.5380 4.5380 11.1189 Å, 90.00 90.00 120.00°
Closest atoms and distances in Å follow each position.
Atoms (fractional coordinates):
As  0.0000  0.0000  0.2500  3 As 2.62
Te  0.3333  0.6667  0.0804  3 Te 3.17, 6 As 3.23
As  0.6667  0.3333  0.2500  3 As 2.62
As  0.3333  0.6667  0.7500  3 As 2.62
Te  0.6667  0.3333  0.5804  3 Te 3.17, 6 As 3.23
Te  0.6667  0.3333  0.9196  3 Te 3.17, 6 As 3.23
As  0.0000  0.0000  0.7500  3 As 2.62
Te  0.3333  0.6667  0.4196  3 Te 3.17, 6 As 3.23

---

Number 1: N(E_F) 1.8 states/eV per cell. Number 2: N(E_F) 12.7 states/eV per cell. Number 3: N(E_F) 0.0 states/eV per cell. Number 4: N(E_F) 2.2 states/eV per cell. Number 5: N(E_F) 0.9 states/eV per cell. Number 6: N(E_F) 7.4 states/eV per cell. Number 7: N(E_F) 1.1 states/eV per cell. Number 8: N(E_F) 6.0 states/eV per cell.